The following is a DFT calculation (PBE) of a geometry-optimized Rb2Tl2I structure.

Values from the calculation:
DOS at the Fermi energy: 12.6 states/eV per cell
energy above the lowest structure with this stoichiometry: 293 meV per atom
raw formation energy: -1.4 eV/f.u.
uncorrected energy: -1.933 eV/atom

a b c (Å): 9.7911 9.7911 4.9313
angles (deg): 90.00 90.00 90.00
Space group P4/mbm (No. 127)
Inequivalent atoms, fractional coordinates:
Rb 0.1929 0.3071 0.0000 (multiplicity 4)
Tl 0.1104 0.6104 0.5000 (multiplicity 4)
I 0.0000 0.0000 0.5000 (multiplicity 2)


The following is a DFT calculation (PBE) of a geometry-optimized RbTl2I3 structure.

Values from the calculation:
DOS at the Fermi energy: 0.0 states/eV per cell
raw formation energy: -5.6 eV/f.u.
uncorrected energy: -2.666 eV/atom

a b c (Å): 5.1082 7.2150 15.3544
angles (deg): 90.00 90.00 90.00
Space group Immm (No. 71)
Inequivalent atoms, fractional coordinates:
Rb 0.0000 0.0000 0.0000 (multiplicity 2)
Tl 0.0000 0.0000 0.3345 (multiplicity 4)
I 0.0000 0.5000 0.0000 (multiplicity 2)
I 0.0000 0.5000 0.3257 (multiplicity 4)


The following is a DFT calculation (PBE) of a geometry-optimized RbTl2I structure.

Values from the calculation:
DOS at the Fermi energy: 12.2 states/eV per cell
energy above the lowest structure with this stoichiometry: 0 meV per atom
raw formation energy: -1.2 eV/f.u.
uncorrected energy: -2.119 eV/atom

a b c (Å): 10.1987 10.1987 6.9223
angles (deg): 90.00 90.00 90.00
Space group I-42d (No. 122)
Inequivalent atoms, fractional coordinates:
Rb 0.0000 0.0000 0.0000 (multiplicity 4)
Tl 0.2204 0.2500 0.6250 (multiplicity 8)
I 0.0000 0.0000 0.5000 (multiplicity 4)


The following is a DFT calculation (PBE) of a geometry-optimized Rb2Tl2I structure.

Values from the calculation:
DOS at the Fermi energy: 11.0 states/eV per cell
energy above the lowest structure with this stoichiometry: 299 meV per atom
raw formation energy: -1.4 eV/f.u.
uncorrected energy: -1.928 eV/atom

a b c (Å): 9.8282 9.8282 5.5632
angles (deg): 90.00 90.00 90.00
Space group P4/mbm (No. 127)
Inequivalent atoms, fractional coordinates:
Rb 0.1902 0.3098 0.0000 (multiplicity 4)
Tl 0.1112 0.6112 0.5000 (multiplicity 4)
I 0.0000 0.0000 0.0000 (multiplicity 2)


The following is a DFT calculation (PBE) of a geometry-optimized RbTl3I4 structure.

Values from the calculation:
DOS at the Fermi energy: 0.0 states/eV per cell
raw formation energy: -7.0 eV/f.u.
uncorrected energy: -2.654 eV/atom

a b c (Å): 14.3646 10.1678 5.0806
angles (deg): 90.00 90.10 90.00
Space group C2/m (No. 12)
Inequivalent atoms, fractional coordinates:
Rb 0.0000 0.0000 0.0000 (multiplicity 2)
Tl 0.0000 0.5000 0.0000 (multiplicity 2)
Tl 0.2500 0.2500 0.5000 (multiplicity 4)
I 0.0000 0.2565 0.5000 (multiplicity 4)
I 0.2470 0.5000 0.0000 (multiplicity 4)


The following is a DFT calculation (PBE) of a geometry-optimized Rb3Tl4I8 structure.

Values from the calculation:
DOS at the Fermi energy: 12.4 states/eV per cell
raw formation energy: -13.8 eV/f.u.
uncorrected energy: -2.571 eV/atom

a b c (Å): 14.5000 14.5007 10.1604
angles (deg): 90.00 134.47 90.00
Space group C2/m (No. 12)
Inequivalent atoms, fractional coordinates:
Rb 0.0000 0.0000 0.0000 (multiplicity 2)
Rb 0.2500 0.2500 0.5000 (multiplicity 4)
Tl 0.0000 0.5000 0.0000 (multiplicity 2)
Tl 0.0000 0.5000 0.5000 (multiplicity 2)
Tl 0.2500 0.2500 0.0000 (multiplicity 4)
I 0.0000 0.2539 0.0000 (multiplicity 4)
I 0.0000 0.2727 0.5000 (multiplicity 4)
I 0.2216 0.5000 0.4913 (multiplicity 4)
I 0.2248 0.5000 0.9573 (multiplicity 4)


The following is a DFT calculation (PBE) of a geometry-optimized Rb2UTlI6 structure.

Values from the calculation:
DOS at the Fermi energy: 21.4 states/eV per cell
raw formation energy: -10.3 eV/f.u.
uncorrected energy: -3.519 eV/atom

a b c (Å): 8.7076 8.7076 51.3282
angles (deg): 90.00 90.00 120.00
Space group R-3m (No. 166, hexagonal axes)
Inequivalent atoms, fractional coordinates:
Rb 0.0000 0.0000 0.1455 (multiplicity 6)
Rb 0.0000 0.0000 0.3130 (multiplicity 6)
U 0.0000 0.0000 0.0000 (multiplicity 3)
U 0.0000 0.0000 0.5000 (multiplicity 3)
Tl 0.0000 0.0000 0.4161 (multiplicity 6)
I 0.0031 0.5016 0.2980 (multiplicity 18)
I 0.0031 0.5015 0.8691 (multiplicity 18)


The following is a DFT calculation (PBE) of a geometry-optimized RbUTl2I8 structure.

Values from the calculation:
raw formation energy: -9.9 eV/f.u.
uncorrected energy: -3.271 eV/atom

a b c (Å): 7.5010 8.4069 10.3968
angles (deg): 90.19 90.61 91.67
Space group P-1 (No. 2)
Inequivalent atoms, fractional coordinates:
Rb 0.0000 0.0000 0.0000 (multiplicity 1)
U 0.0000 0.0000 0.5000 (multiplicity 1)
Tl 0.4952 0.5004 0.7695 (multiplicity 2)
I 0.1943 0.7042 0.4954 (multiplicity 2)
I 0.2415 0.1340 0.3036 (multiplicity 2)
I 0.2472 0.1258 0.7007 (multiplicity 2)
I 0.2794 0.6622 0.0014 (multiplicity 2)


> Look up the uncorrected energy of the third one.

-2.119 eV/atom